# Rb2AgS2

A geometry-optimized Rb2AgS2 structure (GGA-PBE, Alexandria).

Its space group is C2/m (12). Its raw formation energy is -0.629 eV/atom. The density of states at the Fermi level is 6.1 states/eV per cell. The value obtained for the distance to the lowest polymorph of the same formula is 0 meV/atom. The density comes out at 2.934 g cm⁻³.

Cell and atoms, written as CIF:
```
data_Rb2AgS2
_symmetry_space_group_name_H-M 'P 1'
_symmetry_Int_Tables_number 1
_symmetry_space_group_name_Hall 'P 1'
_cell_length_a 7.989
_cell_length_b 7.989
_cell_length_c 10.326
_cell_angle_alpha 124.12
_cell_angle_beta 124.12
_cell_angle_gamma 48.33
loop_
_atom_site_label
_atom_site_fract_x
_atom_site_fract_y
_atom_site_fract_z
Rb1 0.058 0.058 0.278
Rb2 0.313 0.313 0.934
Rb3 0.687 0.687 0.066
Rb4 0.942 0.942 0.722
Ag1 0.370 0.370 0.376
Ag2 0.630 0.630 0.624
S1 0.188 0.188 0.110
S2 0.478 0.478 0.666
S3 0.522 0.522 0.334
S4 0.812 0.812 0.890
```


# RbAg5S4

A geometry-optimized RbAg5S4 structure (GGA-PBE, Alexandria).

Its space group is Pmmn (59). Its raw formation energy is -0.087 eV/atom. The density of states at the Fermi level is 14.3 states/eV per cell. The density comes out at 4.692 g cm⁻³.

Cell and atoms, written as CIF:
```
data_RbAg5S4
_symmetry_space_group_name_H-M 'P 1'
_symmetry_Int_Tables_number 1
_symmetry_space_group_name_Hall 'P 1'
_cell_length_a 8.209
_cell_length_b 10.089
_cell_length_c 6.436
_cell_angle_alpha 90.00
_cell_angle_beta 90.00
_cell_angle_gamma 90.00
loop_
_atom_site_label
_atom_site_fract_x
_atom_site_fract_y
_atom_site_fract_z
Rb1 0.250 0.250 0.211
Rb2 0.750 0.750 0.789
Ag1 0.004 0.583 0.173
Ag2 0.004 0.917 0.173
Ag3 0.250 0.750 0.679
Ag4 0.496 0.583 0.173
Ag5 0.496 0.917 0.173
Ag6 0.504 0.083 0.827
Ag7 0.504 0.417 0.827
Ag8 0.750 0.250 0.321
Ag9 0.996 0.083 0.827
Ag10 0.996 0.417 0.827
S1 0.015 0.750 0.436
S2 0.250 0.545 0.932
S3 0.250 0.955 0.932
S4 0.485 0.750 0.436
S5 0.515 0.250 0.564
S6 0.750 0.045 0.068
S7 0.750 0.455 0.068
S8 0.985 0.250 0.564
```


# RbAgS3

A geometry-optimized RbAgS3 structure (GGA-PBE, Alexandria).

Its space group is P2_1/c (14). Its raw formation energy is -0.367 eV/atom. The density of states at the Fermi level is 5.8 states/eV per cell. The density comes out at 3.162 g cm⁻³.

Cell and atoms, written as CIF:
```
data_RbAgS3
_symmetry_space_group_name_H-M 'P 1'
_symmetry_Int_Tables_number 1
_symmetry_space_group_name_Hall 'P 1'
_cell_length_a 5.000
_cell_length_b 10.146
_cell_length_c 12.988
_cell_angle_alpha 90.00
_cell_angle_beta 112.64
_cell_angle_gamma 90.00
loop_
_atom_site_label
_atom_site_fract_x
_atom_site_fract_y
_atom_site_fract_z
Rb1 0.175 0.193 0.001
Rb2 0.175 0.307 0.501
Rb3 0.825 0.693 0.499
Rb4 0.825 0.807 0.999
Ag1 0.328 0.000 0.328
Ag2 0.328 0.500 0.828
Ag3 0.672 0.000 0.672
Ag4 0.672 0.500 0.172
S1 0.148 0.555 0.319
S2 0.148 0.945 0.819
S3 0.203 0.526 0.000
S4 0.203 0.974 0.500
S5 0.489 0.056 0.819
S6 0.489 0.444 0.319
S7 0.511 0.556 0.681
S8 0.511 0.944 0.181
S9 0.797 0.026 0.500
S10 0.797 0.474 0.000
S11 0.852 0.055 0.181
S12 0.852 0.445 0.681
```


# RbAg2S

A geometry-optimized RbAg2S structure (GGA-PBE, Alexandria).

Its space group is I4_1/amd (141). Its raw formation energy is -0.170 eV/atom. The density of states at the Fermi level is 0.6 states/eV per cell. The density comes out at 4.189 g cm⁻³.

Cell and atoms, written as CIF:
```
data_RbAg2S
_symmetry_space_group_name_H-M 'P 1'
_symmetry_Int_Tables_number 1
_symmetry_space_group_name_Hall 'P 1'
_cell_length_a 9.524
_cell_length_b 9.524
_cell_length_c 9.524
_cell_angle_alpha 146.35
_cell_angle_beta 146.35
_cell_angle_gamma 48.33
loop_
_atom_site_label
_atom_site_fract_x
_atom_site_fract_y
_atom_site_fract_z
Rb1 0.375 0.625 0.750
Rb2 0.625 0.375 0.250
Ag1 0.000 0.000 0.000
Ag2 0.000 0.000 0.500
Ag3 0.000 0.500 0.000
Ag4 0.500 0.000 0.500
S1 0.125 0.875 0.250
S2 0.875 0.125 0.750
```